Entry 1:
La2ScAs: relaxed, PBE-GGA.

Output
E_form in meV per atom: -371

Cell: 5.947 5.947 5.947 Å, 133.90 133.90 67.25°
Element x y z (fractional)
1 La 0.250 0.750 0.500
2 La 0.750 0.250 0.500
3 Sc 0.000 0.000 0.000
4 As 0.500 0.500 0.000

***

Entry 2:
SrMo2Pb: relaxed, PBE-GGA.

Output
E_form in meV per atom: 1026

Cell: 3.897 4.625 4.853 Å, 90.00 90.00 90.00°
Element x y z (fractional)
1 Sr 0.000 0.000 0.000
2 Mo 0.000 0.500 0.500
3 Mo 0.500 0.000 0.500
4 Pb 0.500 0.500 0.000

***

Entry 3:
TlNiW: relaxed, PBE-GGA.

Output
E_form in meV per atom: 844
Excess energy over the best structure of this formula in the dataset in eV/atom: 0.3050

Cell: 4.444 4.444 2.904 Å, 90.00 90.00 120.00°
Element x y z (fractional)
1 Tl 0.000 0.000 0.000
2 Ni 0.667 0.333 0.854
3 W 0.333 0.667 0.486

***

Entry 4:
MnTl2Sb: relaxed, PBE-GGA.

Output
Excess energy over the best structure of this formula in the dataset in eV/atom: 0.0869
Formation energy from raw total energies in eV/f.u.: 1.03

Cell: 6.914 6.914 6.914 Å, 152.56 136.30 52.38°
Element x y z (fractional)
1 Mn 0.000 0.000 0.000
2 Tl 0.480 0.480 0.000
3 Tl 0.786 0.286 0.500
4 Sb 0.180 0.680 0.500

***

Number 1: calculated volume 107.43 Å³/f.u., total energy -22.3 eV for the cell shown. Number 2: calculated volume 87.47 Å³/f.u., total energy -22.9 eV for the cell shown. Number 3: calculated volume 49.66 Å³/f.u., total energy -18.6 eV for the cell shown. Number 4: calculated volume 104.74 Å³/f.u., total energy -17.0 eV for the cell shown.